Material: Mg17Cd11Ga
Method: DFT, GGA-PBE
State: relaxed

## Properties
- energy of formation (meV/atom) = -66
- total magnetic moment (μB per cell) = 0.00
- ρ (kg/m³) = 4470

abc: 9.409 9.409 9.288
angles: 111.24 111.24 104.94
Element x y z (fractional)
Mg1 0.000 0.000 0.000
Mg2 0.030 0.711 0.101
Mg3 0.289 0.289 0.036
Mg4 0.309 0.908 0.019
Mg5 0.316 0.316 0.702
Mg6 0.323 0.631 0.294
Mg7 0.331 0.675 0.704
Mg8 0.593 0.998 0.385
Mg9 0.631 0.323 0.294
Mg10 0.632 0.917 0.706
Mg11 0.675 0.331 0.704
Mg12 0.711 0.030 0.101
Mg13 0.719 0.719 0.413
Mg14 0.908 0.309 0.019
Mg15 0.917 0.632 0.706
Mg16 0.969 0.969 0.359
Mg17 0.998 0.593 0.385
Cd1 0.114 0.922 0.700
Cd2 0.133 0.494 0.892
Cd3 0.143 0.338 0.343
Cd4 0.299 0.928 0.499
Cd5 0.338 0.143 0.343
Cd6 0.494 0.133 0.892
Cd7 0.499 0.694 0.063
Cd8 0.528 0.528 0.531
Cd9 0.694 0.499 0.063
Cd10 0.922 0.114 0.700
Cd11 0.928 0.299 0.499
Ga1 0.717 0.717 0.906